Crystalline CeCo2GeH at its relaxed geometry, computed with GGA-PBE.

crystal system = orthorhombic
electronic total energy = -6.079 eV/atom

Cell and atoms, written as POSCAR:
```
CeCo2GeH
1.0
1.948 -5.258 0.000
1.948 5.258 0.000
0.000 0.000 6.524
Ce Co Ge H
2 4 2 2
Cartesian
1.948 4.412 4.893
1.948 -4.412 1.631
1.948 1.671 3.576
1.948 1.671 6.210
1.948 -1.671 0.314
1.948 -1.671 2.948
1.948 3.119 1.631
1.948 -3.119 4.893
1.948 0.000 0.000
1.948 0.000 3.262
```